[1]
Density functional theory data (PBE-GGA) for La2SmRu after structural relaxation.

## Properties
* E above lowest polymorph: 33.5 meV/atom
* SG: Cmcm, No. 63
* DFT formation energy: -0.1954 eV per atom
* DOS(E_F): 8.27 states/eV/cell

Unit cell a=3.9459 b=6.4022 c=9.9331 alpha=90.00 beta=90.00 gamma=108.00
Last column: nearest neighbours and their distance in Å.
Atoms (fractional coordinates):
La 0.6394 0.2785 0.0708  2 Ru 2.90
La 0.3606 0.7215 0.5708  2 Ru 2.90
La 0.3606 0.7215 0.9292  2 Ru 2.90
La 0.6394 0.2785 0.4292  2 Ru 2.90
Ru 0.2353 0.4702 0.2500  4 La 2.90, 2 Sm 2.92
Ru 0.7647 0.5298 0.7500  4 La 2.90, 2 Sm 2.92
Sm 0.9118 0.8238 0.2500  2 Ru 2.92
Sm 0.0882 0.1762 0.7500  2 Ru 2.92

[2]
Density functional theory data (PBE-GGA) for AgSn4S8 after structural relaxation.

## Properties
* E above lowest polymorph: 0.0 meV/atom
* SG: F-43m, No. 216
* formation energy from raw total energies: -0.3323 eV per atom
* DOS(E_F): 2.35 states/eV/cell

Unit cell a=7.6251 b=7.6251 c=7.6251 alpha=60.00 beta=60.00 gamma=60.00
Last column: nearest neighbours and their distance in Å.
Atoms (fractional coordinates):
S 0.6167 0.1498 0.6167  1 Ag 2.49, 3 Sn 2.65
S 0.1282 0.6155 0.1282  3 Sn 2.62
S 0.1282 0.1282 0.1282  3 Sn 2.62
S 0.6155 0.1282 0.1282  3 Sn 2.62
S 0.1498 0.6167 0.6167  1 Ag 2.49, 3 Sn 2.65
S 0.6167 0.6167 0.1498  1 Ag 2.49, 3 Sn 2.65
S 0.6167 0.6167 0.6167  1 Ag 2.49, 3 Sn 2.65
S 0.1282 0.1282 0.6155  3 Sn 2.62
Ag 0.7500 0.7500 0.7500  4 S 2.49
Sn 0.8858 0.3714 0.3714  6 S 2.62-2.65
Sn 0.3714 0.3714 0.3714  6 S 2.62-2.65
Sn 0.3714 0.8858 0.3714  6 S 2.62-2.65
Sn 0.3714 0.3714 0.8858  6 S 2.62-2.65

[3]
Density functional theory data (PBE-GGA) for HoCd12Hg6 after structural relaxation.

## Properties
* E above lowest polymorph: 0.0 meV/atom
* SG: R-3, No. 148
* DFT formation energy: -0.0445 eV per atom
* DOS(E_F): 4.66 states/eV/cell

Unit cell a=7.9823 b=7.9823 c=7.9823 alpha=103.41 beta=103.41 gamma=103.41
Last column: nearest neighbours and their distance in Å.
Atoms (fractional coordinates):
Hg 0.8380 0.5806 0.8351  1 Ho 3.13, 7 Cd 3.13-3.27, 2 Hg 3.21
Hg 0.8351 0.8380 0.5806  1 Ho 3.13, 7 Cd 3.13-3.27, 2 Hg 3.21
Hg 0.1649 0.1620 0.4194  1 Ho 3.13, 7 Cd 3.13-3.27, 2 Hg 3.21
Hg 0.4194 0.1649 0.1620  1 Ho 3.13, 7 Cd 3.13-3.27, 2 Hg 3.21
Hg 0.5806 0.8351 0.8380  1 Ho 3.13, 7 Cd 3.13-3.27, 2 Hg 3.21
Hg 0.1620 0.4194 0.1649  1 Ho 3.13, 7 Cd 3.13-3.27, 2 Hg 3.21
Cd 0.4152 0.4123 0.8090  5 Cd 2.88-3.10, 1 Hg 3.17
Cd 0.4123 0.8090 0.4152  5 Cd 2.88-3.10, 1 Hg 3.17
Cd 0.9984 0.7355 0.2642  6 Cd 3.10-3.31, 4 Hg 3.13-3.19, 1 Ho 3.31
Cd 0.5877 0.1910 0.5848  5 Cd 2.88-3.10, 1 Hg 3.17
Cd 0.7358 0.0016 0.2645  6 Cd 3.10-3.31, 4 Hg 3.13-3.19, 1 Ho 3.31
Cd 0.7355 0.2642 0.9984  6 Cd 3.10-3.31, 4 Hg 3.13-3.19, 1 Ho 3.31
Cd 0.5848 0.5877 0.1910  5 Cd 2.88-3.10, 1 Hg 3.17
Cd 0.0016 0.2645 0.7358  6 Cd 3.10-3.31, 4 Hg 3.13-3.19, 1 Ho 3.31
Cd 0.1910 0.5848 0.5877  5 Cd 2.88-3.10, 1 Hg 3.17
Cd 0.2642 0.9984 0.7355  6 Cd 3.10-3.31, 4 Hg 3.13-3.19, 1 Ho 3.31
Cd 0.8090 0.4152 0.4123  5 Cd 2.88-3.10, 1 Hg 3.17
Cd 0.2645 0.7358 0.0016  6 Cd 3.10-3.31, 4 Hg 3.13-3.19, 1 Ho 3.31
Ho 0.0000 0.0000 0.0000  6 Hg 3.13, 6 Cd 3.31

[4]
Density functional theory data (PBE-GGA) for Pm2BiTe after structural relaxation.

## Properties
* E above lowest polymorph: 5.6 meV/atom
* SG: Pmmn, No. 59
* formation energy from raw total energies: -1.1956 eV per atom
* DOS(E_F): 3.02 states/eV/cell

Unit cell a=4.5268 b=6.4038 c=9.0409 alpha=90.00 beta=90.00 gamma=90.00
Last column: nearest neighbours and their distance in Å.
Atoms (fractional coordinates):
Bi 0.0000 0.5000 0.3740  6 Pm 3.19-3.20
Bi 0.5000 0.0000 0.6260  6 Pm 3.19-3.20
Pm 0.5000 0.5000 0.6240  4 Bi 3.20, 2 Te 3.21
Pm 0.5000 0.5000 0.1261  2 Bi 3.19, 4 Te 3.20
Pm 0.0000 0.0000 0.8739  2 Bi 3.19, 4 Te 3.20
Pm 0.0000 0.0000 0.3760  4 Bi 3.20, 2 Te 3.21
Te 0.0000 0.5000 0.8758  6 Pm 3.20-3.21
Te 0.5000 0.0000 0.1242  6 Pm 3.20-3.21